DFT (PBE-GGA) results for crystalline CaTcPCl2 at its relaxed geometry.

Properties
The value obtained for the theoretical density is 2.683 g/cm³. Its electronic total energy is -4.100 eV per atom.

```
data_CaTcPCl2
_space_group_name_H-M_alt 'P 4/m m m'
_space_group_IT_number 123
_space_group_name_Hall '-P 4 2'
_cell_length_a 4.9999
_cell_length_b 4.9999
_cell_length_c 5.9410
_cell_angle_alpha 90.00
_cell_angle_beta 90.00
_cell_angle_gamma 90.00
loop_
_atom_site_label
_atom_site_fract_x
_atom_site_fract_y
_atom_site_fract_z
_atom_site_occupancy
Ca1 0.0000 0.0000 0.0000 1
Tc1 0.5000 0.5000 0.5000 1
P1 0.0000 0.0000 0.5000 1
Cl1 0.0000 0.5000 0.0000 1
```

---

DFT (PBE-GGA) results for crystalline CaTiP2Cl at its relaxed geometry.

Properties
The value obtained for the theoretical density is 2.329 g/cm³. Its electronic total energy is -3.944 eV per atom.

```
data_CaTiP2Cl
_space_group_name_H-M_alt 'P 4/m m m'
_space_group_IT_number 123
_space_group_name_Hall '-P 4 2'
_cell_length_a 5.1758
_cell_length_b 5.1758
_cell_length_c 4.9325
_cell_angle_alpha 90.00
_cell_angle_beta 90.00
_cell_angle_gamma 90.00
loop_
_atom_site_label
_atom_site_fract_x
_atom_site_fract_y
_atom_site_fract_z
_atom_site_occupancy
Ca1 0.0000 0.0000 0.0000 1
Ti1 0.5000 0.5000 0.5000 1
P1 0.0000 0.5000 0.0000 1
Cl1 0.0000 0.0000 0.5000 1
```

---

DFT (PBE-GGA) results for crystalline CaTiPCl2 at its relaxed geometry.

Properties
The value obtained for the theoretical density is 2.174 g/cm³. Its electronic total energy is -4.077 eV per atom.

```
data_CaTiPCl2
_space_group_name_H-M_alt 'P 4/m m m'
_space_group_IT_number 123
_space_group_name_Hall '-P 4 2'
_cell_length_a 4.9623
_cell_length_b 4.9623
_cell_length_c 5.8891
_cell_angle_alpha 90.00
_cell_angle_beta 90.00
_cell_angle_gamma 90.00
loop_
_atom_site_label
_atom_site_fract_x
_atom_site_fract_y
_atom_site_fract_z
_atom_site_occupancy
Ca1 0.0000 0.0000 0.0000 1
Ti1 0.5000 0.5000 0.5000 1
P1 0.0000 0.0000 0.5000 1
Cl1 0.0000 0.5000 0.0000 1
```

---

DFT (PBE-GGA) results for crystalline CaTiP2Cl at its relaxed geometry.

Properties
The value obtained for the theoretical density is 2.792 g/cm³. Its electronic total energy is -5.341 eV per atom.

```
data_CaTiP2Cl
_space_group_name_H-M_alt 'P 4/m m m'
_space_group_IT_number 123
_space_group_name_Hall '-P 4 2'
_cell_length_a 4.7266
_cell_length_b 4.7266
_cell_length_c 4.9342
_cell_angle_alpha 90.00
_cell_angle_beta 90.00
_cell_angle_gamma 90.00
loop_
_atom_site_label
_atom_site_fract_x
_atom_site_fract_y
_atom_site_fract_z
_atom_site_occupancy
Ca1 0.0000 0.0000 0.0000 1
Ti1 0.5000 0.5000 0.5000 1
P1 0.0000 0.5000 0.5000 1
Cl1 0.5000 0.5000 0.0000 1
```

---

DFT (PBE-GGA) results for crystalline CaTiPCl2 at its relaxed geometry.

Properties
The value obtained for the theoretical density is 2.804 g/cm³. Its electronic total energy is -4.925 eV per atom.

```
data_CaTiPCl2
_space_group_name_H-M_alt 'P 4/m m m'
_space_group_IT_number 123
_space_group_name_Hall '-P 4 2'
_cell_length_a 4.7482
_cell_length_b 4.7482
_cell_length_c 4.9867
_cell_angle_alpha 90.00
_cell_angle_beta 90.00
_cell_angle_gamma 90.00
loop_
_atom_site_label
_atom_site_fract_x
_atom_site_fract_y
_atom_site_fract_z
_atom_site_occupancy
Ca1 0.0000 0.0000 0.0000 1
Ti1 0.5000 0.5000 0.5000 1
P1 0.5000 0.5000 0.0000 1
Cl1 0.0000 0.5000 0.5000 1
```

---

DFT (PBE-GGA) results for crystalline CaTlPCl2 at its relaxed geometry.

Properties
The value obtained for the theoretical density is 3.467 g/cm³. Its electronic total energy is -3.521 eV per atom.

```
data_CaTlPCl2
_space_group_name_H-M_alt 'P 4/m m m'
_space_group_IT_number 123
_space_group_name_Hall '-P 4 2'
_cell_length_a 5.3478
_cell_length_b 5.3478
_cell_length_c 5.8009
_cell_angle_alpha 90.00
_cell_angle_beta 90.00
_cell_angle_gamma 90.00
loop_
_atom_site_label
_atom_site_fract_x
_atom_site_fract_y
_atom_site_fract_z
_atom_site_occupancy
Ca1 0.0000 0.0000 0.0000 1
Tl1 0.5000 0.5000 0.5000 1
P1 0.0000 0.0000 0.5000 1
Cl1 0.0000 0.5000 0.0000 1
```

---

DFT (PBE-GGA) results for crystalline CaTlPCl2 at its relaxed geometry.

Properties
The value obtained for the theoretical density is 3.844 g/cm³. Its electronic total energy is -3.122 eV per atom.

```
data_CaTlPCl2
_space_group_name_H-M_alt 'P 4/m m m'
_space_group_IT_number 123
_space_group_name_Hall '-P 4 2'
_cell_length_a 5.3595
_cell_length_b 5.3595
_cell_length_c 5.2090
_cell_angle_alpha 90.00
_cell_angle_beta 90.00
_cell_angle_gamma 90.00
loop_
_atom_site_label
_atom_site_fract_x
_atom_site_fract_y
_atom_site_fract_z
_atom_site_occupancy
Ca1 0.0000 0.0000 0.0000 1
Tl1 0.5000 0.5000 0.5000 1
P1 0.5000 0.5000 0.0000 1
Cl1 0.0000 0.5000 0.5000 1
```

---

DFT (PBE-GGA) results for crystalline CaTl2PCl at its relaxed geometry.

Properties
The value obtained for the theoretical density is 4.883 g/cm³. Its electronic total energy is -3.150 eV per atom.

```
data_CaTl2PCl
_space_group_name_H-M_alt 'P 4/m m m'
_space_group_IT_number 123
_space_group_name_Hall '-P 4 2'
_cell_length_a 5.6883
_cell_length_b 5.6883
_cell_length_c 5.4158
_cell_angle_alpha 90.00
_cell_angle_beta 90.00
_cell_angle_gamma 90.00
loop_
_atom_site_label
_atom_site_fract_x
_atom_site_fract_y
_atom_site_fract_z
_atom_site_occupancy
Ca1 0.0000 0.0000 0.0000 1
Tl1 0.0000 0.5000 0.5000 1
P1 0.0000 0.0000 0.5000 1
Cl1 0.5000 0.5000 0.0000 1
```

---

DFT (PBE-GGA) results for crystalline CaVPCl2 at its relaxed geometry.

Properties
The value obtained for the theoretical density is 2.162 g/cm³. Its electronic total energy is -4.154 eV per atom.

```
data_CaVPCl2
_space_group_name_H-M_alt 'P 4/m m m'
_space_group_IT_number 123
_space_group_name_Hall '-P 4 2'
_cell_length_a 5.0095
_cell_length_b 5.0095
_cell_length_c 5.9036
_cell_angle_alpha 90.00
_cell_angle_beta 90.00
_cell_angle_gamma 90.00
loop_
_atom_site_label
_atom_site_fract_x
_atom_site_fract_y
_atom_site_fract_z
_atom_site_occupancy
Ca1 0.0000 0.0000 0.0000 1
V1 0.5000 0.5000 0.5000 1
P1 0.0000 0.0000 0.5000 1
Cl1 0.0000 0.5000 0.0000 1
```

---

DFT (PBE-GGA) results for crystalline CaVP2Cl at its relaxed geometry.

Properties
The value obtained for the theoretical density is 2.993 g/cm³. Its electronic total energy is -5.386 eV per atom.

```
data_CaVP2Cl
_space_group_name_H-M_alt 'P 4/m m m'
_space_group_IT_number 123
_space_group_name_Hall '-P 4 2'
_cell_length_a 4.5521
_cell_length_b 4.5521
_cell_length_c 5.0440
_cell_angle_alpha 90.00
_cell_angle_beta 90.00
_cell_angle_gamma 90.00
loop_
_atom_site_label
_atom_site_fract_x
_atom_site_fract_y
_atom_site_fract_z
_atom_site_occupancy
Ca1 0.0000 0.0000 0.0000 1
V1 0.5000 0.5000 0.5000 1
P1 0.0000 0.5000 0.5000 1
Cl1 0.5000 0.5000 0.0000 1
```

---

DFT (PBE-GGA) results for crystalline CaVPCl2 at its relaxed geometry.

Properties
The value obtained for the theoretical density is 2.882 g/cm³. Its electronic total energy is -4.943 eV per atom.

```
data_CaVPCl2
_space_group_name_H-M_alt 'P 4/m m m'
_space_group_IT_number 123
_space_group_name_Hall '-P 4 2'
_cell_length_a 4.8113
_cell_length_b 4.8113
_cell_length_c 4.8017
_cell_angle_alpha 90.00
_cell_angle_beta 90.00
_cell_angle_gamma 90.00
loop_
_atom_site_label
_atom_site_fract_x
_atom_site_fract_y
_atom_site_fract_z
_atom_site_occupancy
Ca1 0.0000 0.0000 0.0000 1
V1 0.5000 0.5000 0.5000 1
P1 0.5000 0.5000 0.0000 1
Cl1 0.0000 0.5000 0.5000 1
```

---

DFT (PBE-GGA) results for crystalline CaVP2Cl at its relaxed geometry.

Properties
The value obtained for the theoretical density is 2.337 g/cm³. Its electronic total energy is -3.824 eV per atom.

```
data_CaVP2Cl
_space_group_name_H-M_alt 'P 4/m m m'
_space_group_IT_number 123
_space_group_name_Hall '-P 4 2'
_cell_length_a 5.2029
_cell_length_b 5.2029
_cell_length_c 4.9461
_cell_angle_alpha 90.00
_cell_angle_beta 90.00
_cell_angle_gamma 90.00
loop_
_atom_site_label
_atom_site_fract_x
_atom_site_fract_y
_atom_site_fract_z
_atom_site_occupancy
Ca1 0.0000 0.0000 0.0000 1
V1 0.5000 0.5000 0.5000 1
P1 0.0000 0.5000 0.0000 1
Cl1 0.0000 0.0000 0.5000 1
```

---

DFT (PBE-GGA) results for crystalline CaPWCl2 at its relaxed geometry.

Properties
The value obtained for the theoretical density is 4.795 g/cm³. Its electronic total energy is -5.148 eV per atom.

```
data_CaPWCl2
_space_group_name_H-M_alt 'P 4/m m m'
_space_group_IT_number 123
_space_group_name_Hall '-P 4 2'
_cell_length_a 4.8420
_cell_length_b 4.8420
_cell_length_c 4.8121
_cell_angle_alpha 90.00
_cell_angle_beta 90.00
_cell_angle_gamma 90.00
loop_
_atom_site_label
_atom_site_fract_x
_atom_site_fract_y
_atom_site_fract_z
_atom_site_occupancy
Ca1 0.0000 0.0000 0.0000 1
P1 0.5000 0.5000 0.0000 1
W1 0.5000 0.5000 0.5000 1
Cl1 0.0000 0.5000 0.5000 1
```

---

DFT (PBE-GGA) results for crystalline CaPWCl2 at its relaxed geometry.

Properties
The value obtained for the theoretical density is 3.537 g/cm³. Its electronic total energy is -4.256 eV per atom.

```
data_CaPWCl2
_space_group_name_H-M_alt 'P 4/m m m'
_space_group_IT_number 123
_space_group_name_Hall '-P 4 2'
_cell_length_a 4.9082
_cell_length_b 4.9082
_cell_length_c 6.3488
_cell_angle_alpha 90.00
_cell_angle_beta 90.00
_cell_angle_gamma 90.00
loop_
_atom_site_label
_atom_site_fract_x
_atom_site_fract_y
_atom_site_fract_z
_atom_site_occupancy
Ca1 0.0000 0.0000 0.0000 1
P1 0.0000 0.0000 0.5000 1
W1 0.5000 0.5000 0.5000 1
Cl1 0.0000 0.5000 0.0000 1
```

---

DFT (PBE-GGA) results for crystalline CaYP2Cl at its relaxed geometry.

Properties
The value obtained for the theoretical density is 2.611 g/cm³. Its electronic total energy is -4.964 eV per atom.

```
data_CaYP2Cl
_space_group_name_H-M_alt 'P 4/m m m'
_space_group_IT_number 123
_space_group_name_Hall '-P 4 2'
_cell_length_a 5.2480
_cell_length_b 5.2480
_cell_length_c 5.2282
_cell_angle_alpha 90.00
_cell_angle_beta 90.00
_cell_angle_gamma 90.00
loop_
_atom_site_label
_atom_site_fract_x
_atom_site_fract_y
_atom_site_fract_z
_atom_site_occupancy
Ca1 0.0000 0.0000 0.0000 1
Y1 0.5000 0.5000 0.5000 1
P1 0.0000 0.5000 0.5000 1
Cl1 0.5000 0.5000 0.0000 1
```